1.
A geometry-optimized CePr2Hg structure, computed with PBE-GGA.

Lattice parameters (Å, degrees): 3.676 3.676 32.909 90.00 90.00 120.00
Positions (direct):
Ce: 0.000 0.000 0.000
Ce: 0.333 0.667 0.667
Ce: 0.667 0.333 0.333
Pr: 0.000 0.000 0.578
Pr: 0.000 0.000 0.756
Pr: 0.333 0.667 0.245
Pr: 0.333 0.667 0.423
Pr: 0.667 0.333 0.090
Pr: 0.667 0.333 0.911
Hg: 0.000 0.000 0.167
Hg: 0.333 0.667 0.834
Hg: 0.667 0.333 0.500

Output
**Calculated formation energy**: -72 meV per atom
**E above lowest polymorph**: 115 meV per atom
**Crystal system**: trigonal
**Magnetic moment**: 3.46 μB per cell
**DOS(E_F)**: 1.81 states/eV per atom

2.
A geometry-optimized CrPtW2 structure, computed with PBE-GGA.

Lattice parameters (Å, degrees): 2.712 4.021 5.541 90.00 97.33 90.00
Positions (direct):
Cr: 0.000 0.000 0.000
Pt: 0.000 0.000 0.500
W: 0.422 0.500 0.232
W: 0.578 0.500 0.768

Output
**Calculated formation energy**: 39 meV per atom
**E above lowest polymorph**: 36 meV per atom
**Crystal system**: monoclinic
**Magnetic moment**: 0.00 μB per cell
**DOS(E_F)**: 0.85 states/eV per atom

3.
A geometry-optimized Na2TlAg2 structure, computed with PBE-GGA.

Lattice parameters (Å, degrees): 4.367 4.367 13.901 90.00 90.00 90.00
Positions (direct):
Na: 0.000 0.500 0.250
Na: 0.000 0.500 0.750
Na: 0.500 0.000 0.250
Na: 0.500 0.000 0.750
Tl: 0.000 0.000 0.000
Tl: 0.500 0.500 0.500
Ag: 0.000 0.000 0.402
Ag: 0.000 0.000 0.598
Ag: 0.500 0.500 0.098
Ag: 0.500 0.500 0.902

Output
**Calculated formation energy**: 137 meV per atom
**E above lowest polymorph**: 178 meV per atom
**Crystal system**: tetragonal
**Magnetic moment**: 0.00 μB per cell
**DOS(E_F)**: 0.42 states/eV per atom